# TlHgP2Cl

Crystalline TlHgP2Cl at its relaxed geometry (PBE-GGA, the Alexandria database).

Cell lengths 5.3425, 5.3425, 5.5171 Å; angles 90.00, 90.00, 90.00 degrees
Closest atoms and distances in Å follow each position.
Fractional coordinates of all 5 atoms:
P (0.0000, 0.5000, 0.0000)  2 Tl 2.67
P (0.5000, 0.0000, 0.0000)  2 Tl 2.67
Tl (0.0000, 0.0000, 0.0000)  4 P 2.67, 2 Cl 2.76
Hg (0.5000, 0.5000, 0.5000)  4 Cl 3.78, 8 P 3.84
Cl (0.0000, 0.0000, 0.5000)  2 Tl 2.76

Values from the calculation:
* space group: P4/mmm, No. 123
* calculated density: 5297 kg/m3
* ΔE_f (raw): 0.820 eV/atom
* V: 31.49 A^3/atom
* distance to the lowest polymorph of the same formula: 23.7 kJ/mol of atoms


# TlHgP2Cl

Crystalline TlHgP2Cl at its relaxed geometry (PBE-GGA, the Alexandria database).

Cell lengths 4.9928, 4.9928, 6.0783 Å; angles 90.00, 90.00, 90.00 degrees
Closest atoms and distances in Å follow each position.
Fractional coordinates of all 5 atoms:
P (0.0000, 0.5000, 0.0000)  2 Hg 2.50
P (0.5000, 0.0000, 0.0000)  2 Hg 2.50
Tl (0.5000, 0.5000, 0.5000)  4 Cl 3.53, 8 P 3.93
Hg (0.0000, 0.0000, 0.0000)  4 P 2.50
Cl (0.0000, 0.0000, 0.5000)  2 Hg 3.04

Values from the calculation:
* space group: P4/mmm, No. 123
* calculated density: 5506 kg/m3
* ΔE_f (raw): 0.574 eV/atom
* V: 30.30 A^3/atom
* distance to the lowest polymorph of the same formula: 0.0 kJ/mol of atoms


# HgPWCl2

Crystalline HgPWCl2 at its relaxed geometry (PBE-GGA, the Alexandria database).

Cell lengths 5.0352, 5.0352, 5.2684 Å; angles 90.00, 90.00, 90.00 degrees
Closest atoms and distances in Å follow each position.
Fractional coordinates of all 5 atoms:
P (0.0000, 0.0000, 0.5000)  2 Hg 2.63
Hg (0.0000, 0.0000, 0.0000)  4 Cl 2.52, 2 P 2.63
W (0.5000, 0.5000, 0.5000)  4 P 3.56, 8 Cl 3.64
Cl (0.0000, 0.5000, 0.0000)  2 Hg 2.52
Cl (0.5000, 0.0000, 0.0000)  2 Hg 2.52

Values from the calculation:
* space group: P4/mmm, No. 123
* calculated density: 6046 kg/m3
* ΔE_f (raw): 1.473 eV/atom
* V: 26.71 A^3/atom
* distance to the lowest polymorph of the same formula: 131.4 kJ/mol of atoms


# HgPWCl2

Crystalline HgPWCl2 at its relaxed geometry (PBE-GGA, the Alexandria database).

Cell lengths 4.8846, 4.8846, 4.7743 Å; angles 90.00, 90.00, 90.00 degrees
Closest atoms and distances in Å follow each position.
Fractional coordinates of all 5 atoms:
P (0.0000, 0.0000, 0.5000)  2 W 2.39
Hg (0.5000, 0.5000, 0.5000)  8 Cl 3.42, 4 P 3.45
W (0.0000, 0.0000, 0.0000)  2 P 2.39, 4 Cl 2.44
Cl (0.0000, 0.5000, 0.0000)  2 W 2.44
Cl (0.5000, 0.0000, 0.0000)  2 W 2.44

Values from the calculation:
* space group: P4/mmm, No. 123
* calculated density: 7089 kg/m3
* ΔE_f (raw): 0.111 eV/atom
* V: 22.78 A^3/atom
* distance to the lowest polymorph of the same formula: 0.0 kJ/mol of atoms


# HgP2WCl

Crystalline HgP2WCl at its relaxed geometry (PBE-GGA, the Alexandria database).

Cell lengths 4.9657, 4.9657, 4.9712 Å; angles 90.00, 90.00, 90.00 degrees
Closest atoms and distances in Å follow each position.
Fractional coordinates of all 5 atoms:
P (0.0000, 0.5000, 0.0000)  2 Hg 2.48
P (0.5000, 0.0000, 0.0000)  2 Hg 2.48
Hg (0.0000, 0.0000, 0.0000)  4 P 2.48, 2 Cl 2.49
W (0.5000, 0.5000, 0.5000)  4 Cl 3.51, 8 P 3.51
Cl (0.0000, 0.0000, 0.5000)  2 Hg 2.49

Values from the calculation:
* space group: P4/mmm, No. 123
* calculated density: 6527 kg/m3
* ΔE_f (raw): 1.845 eV/atom
* V: 24.52 A^3/atom
* distance to the lowest polymorph of the same formula: 151.2 kJ/mol of atoms


# HgP2WCl

Crystalline HgP2WCl at its relaxed geometry (PBE-GGA, the Alexandria database).

Cell lengths 4.7218, 4.7218, 5.0022 Å; angles 90.00, 90.00, 90.00 degrees
Closest atoms and distances in Å follow each position.
Fractional coordinates of all 5 atoms:
P (0.0000, 0.5000, 0.0000)  2 W 2.36
P (0.5000, 0.0000, 0.0000)  2 W 2.36
Hg (0.5000, 0.5000, 0.5000)  4 Cl 3.34, 8 P 3.44
W (0.0000, 0.0000, 0.0000)  4 P 2.36, 2 Cl 2.50
Cl (0.0000, 0.0000, 0.5000)  2 W 2.50

Values from the calculation:
* space group: P4/mmm, No. 123
* calculated density: 7174 kg/m3
* ΔE_f (raw): 0.279 eV/atom
* V: 22.31 A^3/atom
* distance to the lowest polymorph of the same formula: 0.0 kJ/mol of atoms


# ZrHgPCl2

Crystalline ZrHgPCl2 at its relaxed geometry (PBE-GGA, the Alexandria database).

Cell lengths 5.0368, 5.0368, 5.2253 Å; angles 90.00, 90.00, 90.00 degrees
Closest atoms and distances in Å follow each position.
Fractional coordinates of all 5 atoms:
P (0.0000, 0.0000, 0.5000)  2 Zr 2.61
Hg (0.5000, 0.5000, 0.5000)  4 P 3.56, 8 Cl 3.63
Zr (0.0000, 0.0000, 0.0000)  4 Cl 2.52, 2 P 2.61
Cl (0.0000, 0.5000, 0.0000)  2 Zr 2.52
Cl (0.5000, 0.0000, 0.0000)  2 Zr 2.52

Values from the calculation:
* space group: P4/mmm, No. 123
* calculated density: 4932 kg/m3
* ΔE_f (raw): -0.663 eV/atom
* V: 26.51 A^3/atom
* distance to the lowest polymorph of the same formula: 0.0 kJ/mol of atoms


# ZrHgP2Cl

Crystalline ZrHgP2Cl at its relaxed geometry (PBE-GGA, the Alexandria database).

Cell lengths 5.1092, 5.1092, 5.0456 Å; angles 90.00, 90.00, 90.00 degrees
Closest atoms and distances in Å follow each position.
Fractional coordinates of all 5 atoms:
P (0.0000, 0.5000, 0.0000)  2 Zr 2.55
P (0.5000, 0.0000, 0.0000)  2 Zr 2.55
Hg (0.5000, 0.5000, 0.5000)  8 P 3.59, 4 Cl 3.61
Zr (0.0000, 0.0000, 0.0000)  2 Cl 2.52, 4 P 2.55
Cl (0.0000, 0.0000, 0.5000)  2 Zr 2.52

Values from the calculation:
* space group: P4/mmm, No. 123
* calculated density: 4907 kg/m3
* ΔE_f (raw): -0.101 eV/atom
* V: 26.34 A^3/atom
* distance to the lowest polymorph of the same formula: 0.0 kJ/mol of atoms


# ZrHg4P2Cl6

Crystalline ZrHg4P2Cl6 at its relaxed geometry (PBE-GGA, the Alexandria database).

Cell lengths 13.3560, 13.6263, 16.4678 Å; angles 90.00, 90.00, 90.00 degrees
Closest atoms and distances in Å follow each position.
Fractional coordinates of all 104 atoms:
Zr (0.3022, 0.0143, 0.8870)  6 Cl 2.48-2.53
Zr (0.8022, 0.4857, 0.1130)  6 Cl 2.48-2.53
Zr (0.6978, 0.5143, 0.6130)  6 Cl 2.48-2.53
Zr (0.1978, 0.9857, 0.3870)  6 Cl 2.48-2.53
Zr (0.6978, 0.9857, 0.1130)  6 Cl 2.48-2.53
Zr (0.1978, 0.5143, 0.8870)  6 Cl 2.48-2.53
Zr (0.3022, 0.4857, 0.3870)  6 Cl 2.48-2.53
Zr (0.8022, 0.0143, 0.6130)  6 Cl 2.48-2.53
Hg (0.7333, 0.2354, 0.8733)  2 P 2.44
Hg (0.2333, 0.2646, 0.1267)  2 P 2.44
Hg (0.2667, 0.7354, 0.6267)  2 P 2.44
Hg (0.7667, 0.7646, 0.3733)  2 P 2.44
Hg (0.2667, 0.7646, 0.1267)  2 P 2.44
Hg (0.7667, 0.7354, 0.8733)  2 P 2.44
Hg (0.7333, 0.2646, 0.3733)  2 P 2.44
Hg (0.2333, 0.2354, 0.6267)  2 P 2.44
Hg (0.4839, 0.2942, 0.0002)  2 P 2.46
Hg (0.9839, 0.2058, 0.9998)  2 P 2.46
Hg (0.5161, 0.7942, 0.4998)  2 P 2.46
Hg (0.0161, 0.7058, 0.5002)  2 P 2.46
Hg (0.5161, 0.7058, 0.9998)  2 P 2.46
Hg (0.0161, 0.7942, 0.0002)  2 P 2.46
Hg (0.4839, 0.2058, 0.5002)  2 P 2.46
Hg (0.9839, 0.2942, 0.4998)  2 P 2.46
Hg (0.4804, 0.2397, 0.7517)  2 P 2.44-2.45
Hg (0.9804, 0.2603, 0.2483)  2 P 2.44-2.45
Hg (0.5196, 0.7397, 0.7483)  2 P 2.44-2.45
Hg (0.0196, 0.7603, 0.2517)  2 P 2.44-2.45
Hg (0.5196, 0.7603, 0.2483)  2 P 2.44-2.45
Hg (0.0196, 0.7397, 0.7517)  2 P 2.44-2.45
Hg (0.4804, 0.2603, 0.2517)  2 P 2.44-2.45
Hg (0.9804, 0.2397, 0.7483)  2 P 2.44-2.45
Hg (0.5905, 0.4891, 0.8548)  2 P 2.46
Hg (0.0905, 0.0109, 0.1452)  2 P 2.46
Hg (0.4095, 0.9891, 0.6452)  2 P 2.46
Hg (0.9095, 0.5109, 0.3548)  2 P 2.46
Hg (0.4095, 0.5109, 0.1452)  2 P 2.46
Hg (0.9095, 0.9891, 0.8548)  2 P 2.46
Hg (0.5905, 0.0109, 0.3548)  2 P 2.46
Hg (0.0905, 0.4891, 0.6452)  2 P 2.46
P (0.9029, 0.1686, 0.8694)  4 Hg 2.44-2.46
P (0.4029, 0.3314, 0.1306)  4 Hg 2.44-2.46
P (0.0971, 0.6686, 0.6306)  4 Hg 2.44-2.46
P (0.5971, 0.8314, 0.3694)  4 Hg 2.44-2.46
P (0.0971, 0.8314, 0.1306)  4 Hg 2.44-2.46
P (0.5971, 0.6686, 0.8694)  4 Hg 2.44-2.46
P (0.9029, 0.3314, 0.3694)  4 Hg 2.44-2.46
P (0.4029, 0.1686, 0.6306)  4 Hg 2.44-2.46
P (0.5676, 0.3107, 0.8681)  4 Hg 2.44-2.46
P (0.0676, 0.1893, 0.1319)  4 Hg 2.44-2.46
P (0.4324, 0.8107, 0.6319)  4 Hg 2.44-2.46
P (0.9324, 0.6893, 0.3681)  4 Hg 2.44-2.46
P (0.4324, 0.6893, 0.1319)  4 Hg 2.44-2.46
P (0.9324, 0.8107, 0.8681)  4 Hg 2.44-2.46
P (0.5676, 0.1893, 0.3681)  4 Hg 2.44-2.46
P (0.0676, 0.3107, 0.6319)  4 Hg 2.44-2.46
Cl (0.3567, 0.1051, 0.0106)  1 Zr 2.49
Cl (0.8567, 0.3949, 0.9894)  1 Zr 2.49
Cl (0.6433, 0.6051, 0.4894)  1 Zr 2.49
Cl (0.1433, 0.8949, 0.5106)  1 Zr 2.49
Cl (0.6433, 0.8949, 0.9894)  1 Zr 2.49
Cl (0.1433, 0.6051, 0.0106)  1 Zr 2.49
Cl (0.3567, 0.3949, 0.5106)  1 Zr 2.49
Cl (0.8567, 0.1051, 0.4894)  1 Zr 2.49
Cl (0.1277, 0.0101, 0.9461)  1 Zr 2.53
Cl (0.6277, 0.4899, 0.0539)  1 Zr 2.53
Cl (0.8723, 0.5101, 0.5539)  1 Zr 2.53
Cl (0.3723, 0.9899, 0.4461)  1 Zr 2.53
Cl (0.8723, 0.9899, 0.0539)  1 Zr 2.53
Cl (0.3723, 0.5101, 0.9461)  1 Zr 2.53
Cl (0.1277, 0.4899, 0.4461)  1 Zr 2.53
Cl (0.6277, 0.0101, 0.5539)  1 Zr 2.53
Cl (0.2649, 0.1748, 0.8215)  1 Zr 2.49
Cl (0.7649, 0.3252, 0.1785)  1 Zr 2.49
Cl (0.7351, 0.6748, 0.6785)  1 Zr 2.49
Cl (0.2351, 0.8252, 0.3215)  1 Zr 2.49
Cl (0.7351, 0.8252, 0.1785)  1 Zr 2.49
Cl (0.2351, 0.6748, 0.8215)  1 Zr 2.49
Cl (0.2649, 0.3252, 0.3215)  1 Zr 2.49
Cl (0.7649, 0.1748, 0.6785)  1 Zr 2.49
Cl (0.2331, 0.9326, 0.7638)  1 Zr 2.49
Cl (0.7331, 0.5674, 0.2362)  1 Zr 2.49
Cl (0.7669, 0.4326, 0.7362)  1 Zr 2.49
Cl (0.2669, 0.0674, 0.2638)  1 Zr 2.49
Cl (0.7669, 0.0674, 0.2362)  1 Zr 2.49
Cl (0.2669, 0.4326, 0.7638)  1 Zr 2.49
Cl (0.2331, 0.5674, 0.2638)  1 Zr 2.49
Cl (0.7331, 0.9326, 0.7362)  1 Zr 2.49
Cl (0.3388, 0.8560, 0.9554)  1 Zr 2.48
Cl (0.8388, 0.6440, 0.0446)  1 Zr 2.48
Cl (0.6612, 0.3560, 0.5446)  1 Zr 2.48
Cl (0.1612, 0.1440, 0.4554)  1 Zr 2.48
Cl (0.6612, 0.1440, 0.0446)  1 Zr 2.48
Cl (0.1612, 0.3560, 0.9554)  1 Zr 2.48
Cl (0.3388, 0.6440, 0.4554)  1 Zr 2.48
Cl (0.8388, 0.8560, 0.5446)  1 Zr 2.48
Cl (0.4736, 0.0168, 0.8282)  1 Zr 2.49
Cl (0.9736, 0.4832, 0.1718)  1 Zr 2.49
Cl (0.5264, 0.5168, 0.6718)  1 Zr 2.49
Cl (0.0264, 0.9832, 0.3282)  1 Zr 2.49
Cl (0.5264, 0.9832, 0.1718)  1 Zr 2.49
Cl (0.0264, 0.5168, 0.8282)  1 Zr 2.49
Cl (0.4736, 0.4832, 0.3282)  1 Zr 2.49
Cl (0.9736, 0.0168, 0.6718)  1 Zr 2.49

Values from the calculation:
* space group: Pbca, No. 61
* calculated density: 5178 kg/m3
* ΔE_f (raw): -0.902 eV/atom
* V: 28.82 A^3/atom